# 1
Below is an optimized crystal structure of TbPmCu2, with properties calculated at the PBE level.

a = 3.8330 Å, b = 4.5058 Å, c = 5.5913 Å
α = 90.00°, β = 110.84°, γ = 90.00°
Last column: nearest neighbours and their distance in Å.
Sites, in units of the cell vectors:
Tb: 0.4418 0.5000 0.4246  7 Cu 2.88-3.06
Cu: 0.0104 0.0000 0.5651  2 Cu 2.67, 2 Pm 2.92-2.94
Cu: 0.1525 0.5000 0.8392  2 Cu 2.67, 2 Tb 2.88-2.90
Pm: 0.7263 0.0000 0.9891  7 Cu 2.92-3.07

Computed properties:
- Energy relative to the elements: -0.217 eV per atom
- Total magnetization: 0.00 μB/f.u.
- E above lowest polymorph: 0.0000 eV/atom
- E: -4.61 eV per atom


# 2
Below is an optimized crystal structure of Na4Ti3AgS8, with properties calculated at the PBE level.

a = 7.3350 Å, b = 7.8395 Å, c = 7.3380 Å
α = 117.94°, β = 119.99°, γ = 90.00°
Last column: nearest neighbours and their distance in Å.
Sites, in units of the cell vectors:
Ti: 0.0000 0.5000 0.5000  6 S 2.48-2.53
Ti: 0.5000 0.5000 0.5000  6 S 2.48-2.53
Ti: 0.5000 0.5000 0.0000  6 S 2.48-2.53
Ag: 0.0000 0.5000 0.0000  6 S 2.64-2.65
Na: 0.5000 0.0000 0.5000  6 S 2.85-2.91
Na: 0.0000 0.0000 0.0000  6 S 2.85-2.91
Na: 0.5000 0.0000 0.0000  6 S 2.75-2.76
Na: 0.0000 0.0000 0.5000  6 S 2.85-2.91
S: 0.7369 0.7106 0.4739  3 Ti 2.53
S: 0.2845 0.2902 0.0373  2 Ti 2.48, 1 Ag 2.64, 1 Na 2.76
S: 0.7155 0.7098 0.9627  2 Ti 2.48, 1 Ag 2.64, 1 Na 2.76
S: 0.7527 0.2902 0.0373  2 Ti 2.48, 1 Ag 2.64, 1 Na 2.76
S: 0.2631 0.2894 0.5261  3 Ti 2.53
S: 0.2473 0.7098 0.9627  2 Ti 2.48, 1 Ag 2.64, 1 Na 2.76
S: 0.7525 0.2901 0.5050  2 Ti 2.48, 1 Ag 2.65, 1 Na 2.75
S: 0.2475 0.7099 0.4950  2 Ti 2.48, 1 Ag 2.65, 1 Na 2.75

Computed properties:
- E_form (uncorrected): -1130 meV per atom
- Total magnetization: 0.90 μB/f.u.
- E: -5.18 eV per atom


# 3
Below is an optimized crystal structure of La2HfBiN, with properties calculated at the PBE level.

a = 5.3549 Å, b = 4.3295 Å, c = 5.3549 Å
α = 90.00°, β = 90.00°, γ = 90.00°
Last column: nearest neighbours and their distance in Å.
Sites, in units of the cell vectors:
Bi: 0.5000 0.5000 0.5000  8 La 3.44, 4 Hf 3.79
La: 0.5000 0.0000 0.0000  2 N 2.68
La: 0.0000 0.0000 0.5000  2 N 2.68
Hf: 0.0000 0.5000 0.0000  2 N 2.16
N: 0.0000 0.0000 0.0000  2 Hf 2.16

Computed properties:
- E_form (uncorrected): -873 meV per atom
- Total magnetization: 0.83 μB/f.u.
- E: -7.28 eV per atom


# 4
Below is an optimized crystal structure of K3Sm3RuO8, with properties calculated at the PBE level.

a = 6.9286 Å, b = 6.9292 Å, c = 7.4563 Å
α = 117.68°, β = 90.00°, γ = 120.00°
Last column: nearest neighbours and their distance in Å.
Sites, in units of the cell vectors:
O: 0.7583 0.9664 0.6744  1 Ru 2.11
O: 0.7920 0.0336 0.3256  1 Ru 2.11
O: 0.7918 0.5837 0.3255  1 Ru 2.11
O: 0.2080 0.9664 0.6744  1 Ru 2.11
O: 0.2082 0.4163 0.6745  1 Ru 2.11
O: 0.2417 0.0336 0.3256  1 Ru 2.11
O: 0.2703 0.5406 0.3109  3 Sm 2.33
O: 0.7297 0.4594 0.6891  3 Sm 2.33
Sm: 0.5000 0.0000 0.5000  6 O 2.33-2.38
Sm: 0.0000 0.5000 0.5000  6 O 2.33-2.38
Sm: 0.5000 0.5000 0.5000  6 O 2.33-2.38
K: 0.0000 0.0000 0.0000  6 O 2.80
K: 0.0000 0.5000 0.0000  6 O 2.80
K: 0.5000 0.5000 0.0000  6 O 2.80
Ru: 0.0000 0.0000 0.5000  6 O 2.11

Computed properties:
- E_form (uncorrected): -2286 meV per atom
- Total magnetization: 2.00 μB/f.u.
- E: -6.71 eV per atom


# 5
Below is an optimized crystal structure of NaIn2Tc2, with properties calculated at the PBE level.

a = 8.2584 Å, b = 8.2584 Å, c = 2.9844 Å
α = 90.00°, β = 90.00°, γ = 90.00°
Last column: nearest neighbours and their distance in Å.
Sites, in units of the cell vectors:
Tc: 0.0976 0.4024 0.0000  1 Tc 2.28
Tc: 0.5976 0.0976 0.0000  1 Tc 2.28
Tc: 0.4024 0.9024 0.0000  1 Tc 2.28
Tc: 0.9024 0.5976 0.0000  1 Tc 2.28
In: 0.1892 0.6892 0.5000  6 Tc 2.90, 2 In 2.98
In: 0.3108 0.1892 0.5000  6 Tc 2.90, 2 In 2.98
In: 0.8108 0.3108 0.5000  6 Tc 2.90, 2 In 2.98
In: 0.6892 0.8108 0.5000  6 Tc 2.90, 2 In 2.98
Na: 0.5000 0.5000 0.0000  2 Na 2.98
Na: 0.0000 0.0000 0.0000  2 Na 2.98

Computed properties:
- Energy relative to the elements: 0.256 eV per atom
- Total magnetization: 0.00 μB/f.u.
- E: -5.25 eV per atom


# 6
Below is an optimized crystal structure of Hg2BiPt2, with properties calculated at the PBE level.

a = 3.9907 Å, b = 3.9907 Å, c = 7.4374 Å
α = 74.44°, β = 74.44°, γ = 90.00°
Last column: nearest neighbours and their distance in Å.
Sites, in units of the cell vectors:
Bi: 0.0000 0.0000 0.0000  8 Pt 3.12
Pt: 0.5961 0.5961 0.8079  1 Pt 2.64, 4 Hg 2.91
Pt: 0.4039 0.4039 0.1921  1 Pt 2.64, 4 Hg 2.91
Hg: 0.7500 0.2500 0.5000  4 Hg 2.82, 4 Pt 2.91
Hg: 0.2500 0.7500 0.5000  4 Hg 2.82, 4 Pt 2.91

Computed properties:
- Energy relative to the elements: 0.057 eV per atom
- Total magnetization: 0.00 μB/f.u.
- E above lowest polymorph: 0.0468 eV/atom
- E: -3.26 eV per atom


# 7
Below is an optimized crystal structure of ReTcAu2, with properties calculated at the PBE level.

a = 2.7534 Å, b = 2.7534 Å, c = 9.7989 Å
α = 90.00°, β = 90.00°, γ = 116.11°
Last column: nearest neighbours and their distance in Å.
Sites, in units of the cell vectors:
Tc: 0.5000 0.5000 0.7335  2 Re 2.57, 4 Tc 2.75
Au: 0.5000 0.5000 0.2579  8 Au 2.75-2.99, 2 Re 2.93
Au: 0.0000 0.0000 0.9911  8 Au 2.75-2.99, 2 Tc 2.91
Re: 0.0000 0.0000 0.5175  2 Tc 2.57, 4 Re 2.75

Computed properties:
- Energy relative to the elements: 0.312 eV per atom
- Total magnetization: 0.00 μB/f.u.
- E above lowest polymorph: 0.1772 eV/atom
- E: -7.03 eV per atom


# 8
Below is an optimized crystal structure of HgTeRh2, with properties calculated at the PBE level.

a = 7.2653 Å, b = 7.2653 Å, c = 5.9539 Å
α = 52.40°, β = 52.40°, γ = 90.00°
Last column: nearest neighbours and their distance in Å.
Sites, in units of the cell vectors:
Hg: 0.7500 0.2500 0.5000  4 Rh 2.83, 2 Te 3.01
Hg: 0.0000 0.0000 0.0000  4 Rh 2.83, 2 Te 3.01
Rh: 0.3750 0.4043 0.7500  2 Te 2.54, 2 Hg 2.83
Rh: 0.1543 0.6250 0.2500  2 Te 2.54, 2 Hg 2.83
Rh: 0.5957 0.1250 0.2500  2 Te 2.54, 2 Hg 2.83
Rh: 0.8750 0.8457 0.7500  2 Te 2.54, 2 Hg 2.83
Te: 0.2500 0.7500 0.5000  4 Rh 2.54
Te: 0.5000 0.5000 0.0000  4 Rh 2.54

Computed properties:
- E_form (uncorrected): 233 meV per atom
- Total magnetization: 0.00 μB/f.u.
- E above lowest polymorph: 0.2059 eV/atom
- E: -4.30 eV per atom


# 9
Below is an optimized crystal structure of ScCd2In2, with properties calculated at the PBE level.

a = 8.1246 Å, b = 8.1246 Å, c = 3.6776 Å
α = 90.00°, β = 90.00°, γ = 90.00°
Last column: nearest neighbours and their distance in Å.
Sites, in units of the cell vectors:
In: 0.3217 0.1783 0.5000  6 Cd 2.91-3.11
In: 0.8217 0.3217 0.5000  6 Cd 2.91-3.11
In: 0.1783 0.6783 0.5000  6 Cd 2.91-3.11
In: 0.6783 0.8217 0.5000  6 Cd 2.91-3.11
Cd: 0.6253 0.1253 0.0000  1 Cd 2.88, 6 In 2.91-3.11, 2 Sc 3.21
Cd: 0.8747 0.6253 0.0000  1 Cd 2.88, 6 In 2.91-3.11, 2 Sc 3.21
Cd: 0.3747 0.8747 0.0000  1 Cd 2.88, 6 In 2.91-3.11, 2 Sc 3.21
Cd: 0.1253 0.3747 0.0000  1 Cd 2.88, 6 In 2.91-3.11, 2 Sc 3.21
Sc: 0.0000 0.0000 0.0000  4 Cd 3.21, 8 In 3.51
Sc: 0.5000 0.5000 0.0000  4 Cd 3.21, 8 In 3.51

Computed properties:
- Energy relative to the elements: -0.014 eV per atom
- Total magnetization: 0.00 μB/f.u.
- E above lowest polymorph: 0.0324 eV/atom
- E: -2.74 eV per atom


# 10
Below is an optimized crystal structure of Pm4Cd5Au6, with properties calculated at the PBE level.

a = 4.0619 Å, b = 11.7226 Å, c = 15.3683 Å
α = 90.00°, β = 90.00°, γ = 99.98°
Last column: nearest neighbours and their distance in Å.
Sites, in units of the cell vectors:
Au: 0.2671 0.5343 0.7958  3 Cd 2.85-2.94, 3 Pm 3.06-3.09, 2 Au 3.08
Au: 0.4117 0.8235 0.1361  5 Cd 2.87-2.96, 4 Pm 3.15-3.16
Au: 0.0995 0.1989 0.0938  4 Cd 2.79-2.95, 3 Pm 2.91-3.11
Au: 0.7739 0.5479 0.9466  3 Cd 2.84-2.90, 2 Pm 2.97, 2 Au 3.08
Au: 0.4601 0.9203 0.8573  2 Cd 2.87-2.88, 1 Au 2.96, 6 Pm 3.15-3.17
Au: 0.5399 0.0797 0.3573  2 Cd 2.87-2.88, 1 Au 2.96, 6 Pm 3.15-3.17
Au: 0.5773 0.1546 0.9361  3 Au 2.96-3.20, 6 Pm 3.13-3.31
Au: 0.9005 0.8011 0.5938  4 Cd 2.79-2.95, 3 Pm 2.91-3.11
Au: 0.7329 0.4657 0.2958  3 Cd 2.85-2.94, 3 Pm 3.06-3.09, 2 Au 3.08
Au: 0.4227 0.8454 0.4361  3 Au 2.96-3.20, 6 Pm 3.13-3.31
Au: 0.2261 0.4521 0.4466  3 Cd 2.84-2.90, 2 Pm 2.97, 2 Au 3.08
Au: 0.5883 0.1765 0.6361  5 Cd 2.87-2.96, 4 Pm 3.15-3.16
Cd: 0.3589 0.7177 0.9671  4 Au 2.84-2.88
Cd: 0.6411 0.2823 0.4671  4 Au 2.84-2.88
Cd: 0.1793 0.3587 0.6220  3 Au 2.90-2.93, 5 Cd 3.01-3.25
Cd: 0.3095 0.6191 0.6219  3 Au 2.85-2.95, 1 Cd 3.01
Cd: 0.5343 0.0687 0.1706  4 Au 2.79-2.88
Cd: 0.8207 0.6413 0.1220  3 Au 2.90-2.93, 5 Cd 3.01-3.25
Cd: 0.6759 0.3519 0.7766  3 Au 2.94-2.96, 2 Cd 3.13
Cd: 0.3241 0.6481 0.2766  3 Au 2.94-2.96, 2 Cd 3.13
Cd: 0.6905 0.3809 0.1219  3 Au 2.85-2.95, 1 Cd 3.01
Cd: 0.4657 0.9313 0.6706  4 Au 2.79-2.88
Pm: 0.1802 0.3604 0.9488  6 Au 2.91-3.13
Pm: 0.9462 0.8925 0.2837  6 Au 3.15-3.17, 4 Cd 3.36-3.48
Pm: 0.1340 0.2680 0.2873  6 Au 3.06-3.24
Pm: 0.9762 0.9523 0.0117  7 Au 3.11-3.31, 4 Cd 3.45
Pm: 0.8198 0.6396 0.4488  6 Au 2.91-3.13
Pm: 0.0538 0.1075 0.7837  6 Au 3.15-3.17, 4 Cd 3.36-3.48
Pm: 0.8660 0.7320 0.7873  6 Au 3.06-3.24
Pm: 0.0238 0.0477 0.5117  7 Au 3.11-3.31, 4 Cd 3.45

Computed properties:
- Energy relative to the elements: -0.546 eV per atom
- Total magnetization: 0.00 μB/f.u.
- E: -3.43 eV per atom


# 11
Below is an optimized crystal structure of KCuHg2I6, with properties calculated at the PBE level.

a = 8.1522 Å, b = 8.1901 Å, c = 9.5161 Å
α = 73.51°, β = 55.21°, γ = 60.09°
Last column: nearest neighbours and their distance in Å.
Sites, in units of the cell vectors:
I: 0.6601 0.1848 0.7835  1 Cu 2.58, 1 Hg 2.86
I: 0.6265 0.1651 0.2940  2 Hg 2.87-2.99
I: 0.0369 0.4209 0.2763  1 Cu 2.63, 1 Hg 2.80
I: 0.0234 0.4379 0.8352  1 Cu 2.66, 1 Hg 2.92
I: 0.3025 0.7619 0.8362  1 Cu 2.64, 1 Hg 2.82
I: 0.3279 0.8473 0.3031  1 Hg 2.70
K: 0.8353 0.7858 0.5542  6 I 3.53-3.72
Hg: 0.9290 0.1112 0.9157  4 I 2.82-2.99
Hg: 0.6592 0.5041 0.2764  3 I 2.70-2.87
Cu: 0.2608 0.4428 0.9407  4 I 2.58-2.66

Computed properties:
- E_form (uncorrected): -489 meV per atom
- Total magnetization: 0.00 μB/f.u.
- E: -2.00 eV per atom


# 12
Below is an optimized crystal structure of CaFe2H, with properties calculated at the PBE level.

a = 5.3820 Å, b = 5.3820 Å, c = 5.3855 Å
α = 60.02°, β = 60.02°, γ = 90.00°
Last column: nearest neighbours and their distance in Å.
Sites, in units of the cell vectors:
H: 0.2500 0.7500 0.5000  4 Fe 1.65
H: 0.5000 0.5000 0.0000  4 Fe 1.65
Fe: 0.3750 0.6250 0.7500  2 H 1.65
Fe: 0.3750 0.1250 0.2500  2 H 1.65
Fe: 0.3750 0.6250 0.2500  2 H 1.65
Fe: 0.8750 0.6250 0.7500  2 H 1.65
Ca: 0.0000 0.0000 0.0000  12 Fe 3.16, 4 Ca 3.30, 4 H 3.30
Ca: 0.7500 0.2500 0.5000  12 Fe 3.16, 4 H 3.30, 4 Ca 3.30

Computed properties:
- Total magnetization: 3.95 μB/f.u.
- E above lowest polymorph: 0.0000 eV/atom
- E: -5.45 eV per atom